1.
A plane-wave DFT calculation with PBEsol was carried out for a relaxed MgRuI2 crystal.

The structure in extended XYZ format:
```
4
Lattice="0.0000 3.5472 3.5472 3.5472 0.0000 3.5472 3.5472 3.5472 0.0000" Properties=species:S:1:pos:R:3 pbc="T T T"
Mg 0.0000 0.0000 0.0000
Ru 3.5472 3.5472 3.5472
I 1.7736 1.7736 1.7736
I 5.3209 5.3209 5.3209
```

Results
- raw formation energy (kJ/mol of atoms) = 46.5
- SG = Fm-3m
- total energy (eV per cell) = -13.495
- magnetization (μB/f.u.) = 2.01


2.
A plane-wave DFT calculation with PBEsol was carried out for a relaxed MgSb2RuI crystal.

The structure in extended XYZ format:
```
5
Lattice="5.2391 0.0000 0.0000 0.0000 5.2391 0.0000 0.0000 0.0000 5.3689" Properties=species:S:1:pos:R:3 pbc="T T T"
Mg 0.0000 0.0000 0.0000
Sb 0.0000 2.6196 0.0000
Sb 2.6196 0.0000 0.0000
Ru 2.6196 2.6196 2.6845
I 0.0000 0.0000 2.6845
```

Results
- raw formation energy (kJ/mol of atoms) = 126.6
- SG = P4/mmm
- total energy (eV per cell) = -16.210
- magnetization (μB/f.u.) = 2.14